The following is a DFT calculation (PBE-GGA) of a relaxed ZrCo3Si crystal.

Lattice parameters (Å, degrees): 4.8458 8.1180 5.8195 134.23 114.60 90.00
With the nearest neighbours (Å) after each atom.
Sites, in units of the cell vectors:
Co1 0.2500 0.9333 0.5000  2 Si 2.26, 4 Co 2.40
Co2 0.2948 0.2948 0.0896  2 Si 2.38, 4 Co 2.40-2.42
Zr1 0.7500 0.7464 0.5000  7 Co 2.60-2.86
Co3 0.7052 0.7052 0.9104  2 Si 2.38, 4 Co 2.40-2.42
Si1 0.5000 0.0000 0.0000  6 Co 2.26-2.38
Co4 0.7500 0.0667 0.5000  2 Si 2.26, 4 Co 2.40
Zr2 0.2500 0.2536 0.5000  7 Co 2.60-2.86
Co5 0.2052 0.7052 0.9104  2 Si 2.38, 4 Co 2.40-2.42
Si2 0.0000 0.5000 0.0000  6 Co 2.26-2.38
Co6 0.7948 0.2948 0.0896  2 Si 2.38, 4 Co 2.40-2.42

Summary:
The calculation puts the offset from the most stable computed form at 0.0000 eV/atom. The calculation puts the total energy at -7.396 eV per atom. The magnetic moment is 0.00 μB per formula unit. Its space group is Imma (74). As for the uncorrected formation energy: -0.3385 eV/atom.